(1)
! Sr2Ti2F, relaxed, DFT PBE-GGA; values from VASP
! - Density: 3.04 Mg/m³
! - E_form (uncorrected): 0.158 eV per atom
! - DOS(E_F): 1.2011 states/eV per atom
! - Space group: P4/mbm (127)
! - Magnetization: 0.7 μB/f.u.
! - Excess energy over the best structure of this formula in the dataset: 0.088 eV/atom
&SYSTEM
  ibrav = 0, nat = 10, ntyp = 3
/
ATOMIC_SPECIES
Sr 87.62 Sr.upf
Ti 47.87 Ti.upf
F 19.00 F.upf
ATOMIC_POSITIONS crystal
Sr 0.2054 0.2946 0.0000
Sr 0.2946 0.7946 0.0000
Sr 0.7054 0.2054 0.0000
Sr 0.7946 0.7054 0.0000
Ti 0.0779 0.5779 0.5000
Ti 0.4221 0.0779 0.5000
Ti 0.5779 0.9221 0.5000
Ti 0.9221 0.4221 0.5000
F 0.0000 0.0000 0.5000
F 0.5000 0.5000 0.5000
CELL_PARAMETERS angstrom
9.1037 0.0000 0.0000
0.0000 9.1037 0.0000
0.0000 0.0000 3.8220



(2)
! AcY2Rh, relaxed, DFT PBE-GGA; values from VASP
! - Density: 6.46 Mg/m³
! - DOS(E_F): 1.1299 states/eV per atom
! - Calculated formation energy: -363 meV/atom
! - Space group: R3m (160)
! - Magnetization: 0.0 μB/f.u.
! - Excess energy over the best structure of this formula in the dataset: 0.101 eV/atom
&SYSTEM
  ibrav = 0, nat = 12, ntyp = 3
/
ATOMIC_SPECIES
Ac 227.00 Ac.upf
Y 88.91 Y.upf
Rh 102.91 Rh.upf
ATOMIC_POSITIONS crystal
Ac 0.0000 0.0000 0.0000
Ac 0.3333 0.6667 0.6667
Ac 0.6667 0.3333 0.3333
Y 0.0000 0.0000 0.2222
Y 0.0000 0.0000 0.4482
Y 0.3333 0.6667 0.1149
Y 0.3333 0.6667 0.8889
Y 0.6667 0.3333 0.5556
Y 0.6667 0.3333 0.7815
Rh 0.0000 0.0000 0.8352
Rh 0.3333 0.6667 0.5018
Rh 0.6667 0.3333 0.1685
CELL_PARAMETERS angstrom
4.0276 0.0000 0.0000
-2.0138 3.4880 0.0000
0.0000 0.0000 27.8802



(3)
! AlBrO3, relaxed, DFT PBE-GGA; values from VASP
! - Density: 4.07 Mg/m³
! - E_form (uncorrected): 0.399 eV per atom
! - DOS(E_F): 0.5149 states/eV per atom
! - Space group: Pm-3m (221)
! - Magnetization: 0.0 μB/f.u.
&SYSTEM
  ibrav = 0, nat = 5, ntyp = 3
/
ATOMIC_SPECIES
Al 26.98 Al.upf
Br 79.90 Br.upf
O 16.00 O.upf
ATOMIC_POSITIONS crystal
Al 0.0000 0.0000 0.0000
Br 0.5000 0.5000 0.5000
O 0.0000 0.5000 0.5000
O 0.5000 0.0000 0.5000
O 0.5000 0.5000 0.0000
CELL_PARAMETERS angstrom
3.9817 0.0000 0.0000
0.0000 3.9817 0.0000
0.0000 0.0000 3.9817



> Which value of magnetization does entry 2 give?

0.0 μB/f.u.



What did the first record say?
! Sr2Ti2F, relaxed, DFT PBE-GGA; values from VASP
! - Density: 3.04 Mg/m³
! - E_form (uncorrected): 0.158 eV per atom
! - DOS(E_F): 1.2011 states/eV per atom
! - Space group: P4/mbm (127)
! - Magnetization: 0.7 μB/f.u.
! - Excess energy over the best structure of this formula in the dataset: 0.088 eV/atom
&SYSTEM
  ibrav = 0, nat = 10, ntyp = 3
/
ATOMIC_SPECIES
Sr 87.62 Sr.upf
Ti 47.87 Ti.upf
F 19.00 F.upf
ATOMIC_POSITIONS crystal
Sr 0.2054 0.2946 0.0000
Sr 0.2946 0.7946 0.0000
Sr 0.7054 0.2054 0.0000
Sr 0.7946 0.7054 0.0000
Ti 0.0779 0.5779 0.5000
Ti 0.4221 0.0779 0.5000
Ti 0.5779 0.9221 0.5000
Ti 0.9221 0.4221 0.5000
F 0.0000 0.0000 0.5000
F 0.5000 0.5000 0.5000
CELL_PARAMETERS angstrom
9.1037 0.0000 0.0000
0.0000 9.1037 0.0000
0.0000 0.0000 3.8220



> Number 2 is which compound?

AcY2Rh